The following is a GGA-PBE calculation of a geometry-optimized SrFeSb2 structure, from the Alexandria database.

```
data_SrFeSb2
_chemical_formula_sum 'Sr1 Fe1 Sb2'
_cell_length_a 6.044
_cell_length_b 6.044
_cell_length_c 6.044
_cell_angle_alpha 136.71
_cell_angle_beta 136.71
_cell_angle_gamma 62.89
_symmetry_space_group_name_H-M 'P 1'
_symmetry_Int_Tables_number 1
_symmetry_space_group_name_Hall 'P 1'
loop_
_atom_site_label
_atom_site_type_symbol
_atom_site_fract_x
_atom_site_fract_y
_atom_site_fract_z
Sr1 Sr 0.000 0.000 0.000
Fe1 Fe 0.250 0.750 0.500
Sb1 Sb 0.500 0.500 0.000
Sb2 Sb 0.750 0.250 0.500
```

Properties
- Formation energy (no corrections): 97 meV/atom
- Space-group type: I-4m2, No. 119
- DOS(E_F): 1.484 states/eV/atom



The following is a GGA-PBE calculation of a geometry-optimized SrFeSb2 structure, from the Alexandria database.

```
data_SrFeSb2
_chemical_formula_sum 'Sr1 Fe1 Sb2'
_cell_length_a 7.338
_cell_length_b 7.338
_cell_length_c 7.338
_cell_angle_alpha 32.86
_cell_angle_beta 32.86
_cell_angle_gamma 32.86
_symmetry_space_group_name_H-M 'P 1'
_symmetry_Int_Tables_number 1
_symmetry_space_group_name_Hall 'P 1'
loop_
_atom_site_label
_atom_site_type_symbol
_atom_site_fract_x
_atom_site_fract_y
_atom_site_fract_z
Sr1 Sr 0.000 0.000 0.000
Fe1 Fe 0.174 0.174 0.174
Sb1 Sb 0.558 0.558 0.558
Sb2 Sb 0.782 0.782 0.782
```

Properties
- Formation energy (no corrections): -278 meV/atom
- Space-group type: R3m, No. 160
- DOS(E_F): 1.230 states/eV/atom



The following is a GGA-PBE calculation of a geometry-optimized SrFeSb2 structure, from the Alexandria database.

```
data_SrFeSb2
_chemical_formula_sum 'Sr1 Fe1 Sb2'
_cell_length_a 5.095
_cell_length_b 5.095
_cell_length_c 5.095
_cell_angle_alpha 60.00
_cell_angle_beta 60.00
_cell_angle_gamma 60.00
_symmetry_space_group_name_H-M 'P 1'
_symmetry_Int_Tables_number 1
_symmetry_space_group_name_Hall 'P 1'
loop_
_atom_site_label
_atom_site_type_symbol
_atom_site_fract_x
_atom_site_fract_y
_atom_site_fract_z
Sr1 Sr 0.000 0.000 0.000
Fe1 Fe 0.500 0.500 0.500
Sb1 Sb 0.250 0.250 0.250
Sb2 Sb 0.750 0.750 0.750
```

Properties
- Formation energy (no corrections): 238 meV/atom
- Space-group type: Fm-3m, No. 225
- DOS(E_F): 0.493 states/eV/atom



The following is a GGA-PBE calculation of a geometry-optimized Sr2FeSb structure, from the Alexandria database.

```
data_Sr2FeSb
_chemical_formula_sum 'Sr2 Fe1 Sb1'
_cell_length_a 4.854
_cell_length_b 4.854
_cell_length_c 8.205
_cell_angle_alpha 98.98
_cell_angle_beta 98.98
_cell_angle_gamma 44.60
_symmetry_space_group_name_H-M 'P 1'
_symmetry_Int_Tables_number 1
_symmetry_space_group_name_Hall 'P 1'
loop_
_atom_site_label
_atom_site_type_symbol
_atom_site_fract_x
_atom_site_fract_y
_atom_site_fract_z
Sr1 Sr 0.250 0.250 0.244
Sr2 Sr 0.750 0.750 0.756
Fe1 Fe 0.500 0.500 0.000
Sb1 Sb 0.000 0.000 0.500
```

Properties
- Formation energy (no corrections): 156 meV/atom
- Space-group type: C2/m, No. 12
- DOS(E_F): 1.138 states/eV/atom



The following is a GGA-PBE calculation of a geometry-optimized SrFeSb2 structure, from the Alexandria database.

```
data_SrFeSb2
_chemical_formula_sum 'Sr1 Fe1 Sb2'
_cell_length_a 3.602
_cell_length_b 3.602
_cell_length_c 7.887
_cell_angle_alpha 90.00
_cell_angle_beta 90.00
_cell_angle_gamma 103.10
_symmetry_space_group_name_H-M 'P 1'
_symmetry_Int_Tables_number 1
_symmetry_space_group_name_Hall 'P 1'
loop_
_atom_site_label
_atom_site_type_symbol
_atom_site_fract_x
_atom_site_fract_y
_atom_site_fract_z
Sr1 Sr 0.000 0.000 0.000
Fe1 Fe 0.000 0.000 0.500
Sb1 Sb 0.500 0.500 0.306
Sb2 Sb 0.500 0.500 0.694
```

Properties
- Formation energy (no corrections): -69 meV/atom
- Space-group type: Cmmm, No. 65
- DOS(E_F): 0.775 states/eV/atom



The following is a GGA-PBE calculation of a geometry-optimized SrFeSb3 structure, from the Alexandria database.

```
data_SrFeSb3
_chemical_formula_sum 'Sr1 Fe1 Sb3'
_cell_length_a 5.119
_cell_length_b 5.119
_cell_length_c 5.119
_cell_angle_alpha 90.00
_cell_angle_beta 90.00
_cell_angle_gamma 90.00
_symmetry_space_group_name_H-M 'P 1'
_symmetry_Int_Tables_number 1
_symmetry_space_group_name_Hall 'P 1'
loop_
_atom_site_label
_atom_site_type_symbol
_atom_site_fract_x
_atom_site_fract_y
_atom_site_fract_z
Sr1 Sr 0.000 0.000 0.000
Fe1 Fe 0.500 0.500 0.500
Sb1 Sb 0.000 0.500 0.500
Sb2 Sb 0.500 0.000 0.500
Sb3 Sb 0.500 0.500 0.000
```

Properties
- Formation energy (no corrections): -25 meV/atom
- E above lowest polymorph: 0.000 eV/atom
- Space-group type: Pm-3m, No. 221
- DOS(E_F): 1.220 states/eV/atom



The following is a GGA-PBE calculation of a geometry-optimized Sr2FeSb structure, from the Alexandria database.

```
data_Sr2FeSb
_chemical_formula_sum 'Sr2 Fe1 Sb1'
_cell_length_a 5.265
_cell_length_b 5.265
_cell_length_c 4.380
_cell_angle_alpha 90.00
_cell_angle_beta 90.00
_cell_angle_gamma 90.00
_symmetry_space_group_name_H-M 'P 1'
_symmetry_Int_Tables_number 1
_symmetry_space_group_name_Hall 'P 1'
loop_
_atom_site_label
_atom_site_type_symbol
_atom_site_fract_x
_atom_site_fract_y
_atom_site_fract_z
Sr1 Sr 0.000 0.500 0.000
Sr2 Sr 0.500 0.000 0.000
Fe1 Fe 0.000 0.000 0.500
Sb1 Sb 0.500 0.500 0.500
```

Properties
- Formation energy (no corrections): -37 meV/atom
- Space-group type: P4/mmm, No. 123
- DOS(E_F): 1.825 states/eV/atom



The following is a GGA-PBE calculation of a geometry-optimized Sr2FeSb structure, from the Alexandria database.

```
data_Sr2FeSb
_chemical_formula_sum 'Sr2 Fe1 Sb1'
_cell_length_a 4.449
_cell_length_b 4.701
_cell_length_c 6.661
_cell_angle_alpha 90.00
_cell_angle_beta 90.00
_cell_angle_gamma 90.00
_symmetry_space_group_name_H-M 'P 1'
_symmetry_Int_Tables_number 1
_symmetry_space_group_name_Hall 'P 1'
loop_
_atom_site_label
_atom_site_type_symbol
_atom_site_fract_x
_atom_site_fract_y
_atom_site_fract_z
Sr1 Sr 0.000 0.000 0.000
Sr2 Sr 0.500 0.500 0.401
Fe1 Fe 0.000 0.000 0.525
Sb1 Sb 0.500 0.500 0.887
```

Properties
- Formation energy (no corrections): 147 meV/atom
- Space-group type: Pmm2, No. 25
- DOS(E_F): 0.821 states/eV/atom



The following is a GGA-PBE calculation of a geometry-optimized SrFeSb2 structure, from the Alexandria database.

```
data_SrFeSb2
_chemical_formula_sum 'Sr1 Fe1 Sb2'
_cell_length_a 6.850
_cell_length_b 6.850
_cell_length_c 6.850
_cell_angle_alpha 36.40
_cell_angle_beta 36.40
_cell_angle_gamma 36.40
_symmetry_space_group_name_H-M 'P 1'
_symmetry_Int_Tables_number 1
_symmetry_space_group_name_Hall 'P 1'
loop_
_atom_site_label
_atom_site_type_symbol
_atom_site_fract_x
_atom_site_fract_y
_atom_site_fract_z
Sr1 Sr 0.000 0.000 0.000
Fe1 Fe 0.500 0.500 0.500
Sb1 Sb 0.220 0.220 0.220
Sb2 Sb 0.780 0.780 0.780
```

Properties
- Formation energy (no corrections): -271 meV/atom
- Space-group type: R-3m, No. 166
- DOS(E_F): 0.998 states/eV/atom



The following is a GGA-PBE calculation of a geometry-optimized SrFe4Sb12 structure, from the Alexandria database.

```
data_SrFe4Sb12
_chemical_formula_sum 'Sr1 Fe4 Sb12'
_cell_length_a 7.982
_cell_length_b 7.982
_cell_length_c 7.982
_cell_angle_alpha 109.47
_cell_angle_beta 109.47
_cell_angle_gamma 109.47
_symmetry_space_group_name_H-M 'P 1'
_symmetry_Int_Tables_number 1
_symmetry_space_group_name_Hall 'P 1'
loop_
_atom_site_label
_atom_site_type_symbol
_atom_site_fract_x
_atom_site_fract_y
_atom_site_fract_z
Sr1 Sr 0.000 0.000 0.000
Fe1 Fe 0.000 0.000 0.500
Fe2 Fe 0.000 0.500 0.000
Fe3 Fe 0.500 0.000 0.000
Fe4 Fe 0.500 0.500 0.500
Sb1 Sb 0.163 0.499 0.336
Sb2 Sb 0.163 0.827 0.664
Sb3 Sb 0.173 0.336 0.837
Sb4 Sb 0.336 0.163 0.499
Sb5 Sb 0.336 0.837 0.173
Sb6 Sb 0.499 0.336 0.163
Sb7 Sb 0.501 0.664 0.837
Sb8 Sb 0.664 0.163 0.827
Sb9 Sb 0.664 0.837 0.501
Sb10 Sb 0.827 0.664 0.163
Sb11 Sb 0.837 0.173 0.336
Sb12 Sb 0.837 0.501 0.664
```

Properties
- Formation energy (no corrections): -174 meV/atom
- Space-group type: Im-3, No. 204
- DOS(E_F): 0.850 states/eV/atom



The following is a GGA-PBE calculation of a geometry-optimized SrFeSb2 structure, from the Alexandria database.

```
data_SrFeSb2
_chemical_formula_sum 'Sr1 Fe1 Sb2'
_cell_length_a 5.291
_cell_length_b 5.291
_cell_length_c 5.291
_cell_angle_alpha 60.00
_cell_angle_beta 60.00
_cell_angle_gamma 60.00
_symmetry_space_group_name_H-M 'P 1'
_symmetry_Int_Tables_number 1
_symmetry_space_group_name_Hall 'P 1'
loop_
_atom_site_label
_atom_site_type_symbol
_atom_site_fract_x
_atom_site_fract_y
_atom_site_fract_z
Sr1 Sr 0.000 0.000 0.000
Fe1 Fe 0.750 0.750 0.750
Sb1 Sb 0.250 0.250 0.250
Sb2 Sb 0.500 0.500 0.500
```

Properties
- Formation energy (no corrections): 267 meV/atom
- Space-group type: F-43m, No. 216
- DOS(E_F): 1.332 states/eV/atom



The following is a GGA-PBE calculation of a geometry-optimized Sr2FeSb structure, from the Alexandria database.

```
data_Sr2FeSb
_chemical_formula_sum 'Sr2 Fe1 Sb1'
_cell_length_a 6.697
_cell_length_b 6.697
_cell_length_c 6.697
_cell_angle_alpha 144.93
_cell_angle_beta 134.65
_cell_angle_gamma 58.58
_symmetry_space_group_name_H-M 'P 1'
_symmetry_Int_Tables_number 1
_symmetry_space_group_name_Hall 'P 1'
loop_
_atom_site_label
_atom_site_type_symbol
_atom_site_fract_x
_atom_site_fract_y
_atom_site_fract_z
Sr1 Sr 0.000 0.000 0.000
Sr2 Sr 0.712 0.212 0.500
Fe1 Fe 0.281 0.781 0.500
Sb1 Sb 0.429 0.429 0.000
```

Properties
- Formation energy (no corrections): -84 meV/atom
- Space-group type: Imm2, No. 44
- DOS(E_F): 1.272 states/eV/atom



The following is a GGA-PBE calculation of a geometry-optimized SrFe12Sb4 structure, from the Alexandria database.

```
data_SrFe12Sb4
_chemical_formula_sum 'Sr1 Fe12 Sb4'
_cell_length_a 7.393
_cell_length_b 7.393
_cell_length_c 7.393
_cell_angle_alpha 109.47
_cell_angle_beta 109.47
_cell_angle_gamma 109.47
_symmetry_space_group_name_H-M 'P 1'
_symmetry_Int_Tables_number 1
_symmetry_space_group_name_Hall 'P 1'
loop_
_atom_site_label
_atom_site_type_symbol
_atom_site_fract_x
_atom_site_fract_y
_atom_site_fract_z
Sr1 Sr 0.000 0.000 0.000
Fe1 Fe 0.138 0.370 0.508
Fe2 Fe 0.138 0.630 0.768
Fe3 Fe 0.232 0.862 0.370
Fe4 Fe 0.370 0.232 0.862
Fe5 Fe 0.370 0.508 0.138
Fe6 Fe 0.492 0.862 0.630
Fe7 Fe 0.508 0.138 0.370
Fe8 Fe 0.630 0.492 0.862
Fe9 Fe 0.630 0.768 0.138
Fe10 Fe 0.768 0.138 0.630
Fe11 Fe 0.862 0.370 0.232
Fe12 Fe 0.862 0.630 0.492
Sb1 Sb 0.000 0.000 0.500
Sb2 Sb 0.000 0.500 0.000
Sb3 Sb 0.500 0.000 0.000
Sb4 Sb 0.500 0.500 0.500
```

Properties
- Formation energy (no corrections): 637 meV/atom
- Space-group type: Im-3, No. 204
- DOS(E_F): 0.778 states/eV/atom



The following is a GGA-PBE calculation of a geometry-optimized SrFe2Sb structure, from the Alexandria database.

```
data_SrFe2Sb
_chemical_formula_sum 'Sr1 Fe2 Sb1'
_cell_length_a 6.357
_cell_length_b 6.357
_cell_length_c 6.357
_cell_angle_alpha 38.77
_cell_angle_beta 38.77
_cell_angle_gamma 38.77
_symmetry_space_group_name_H-M 'P 1'
_symmetry_Int_Tables_number 1
_symmetry_space_group_name_Hall 'P 1'
loop_
_atom_site_label
_atom_site_type_symbol
_atom_site_fract_x
_atom_site_fract_y
_atom_site_fract_z
Sr1 Sr 0.000 0.000 0.000
Fe1 Fe 0.203 0.203 0.203
Fe2 Fe 0.534 0.534 0.534
Sb1 Sb 0.808 0.808 0.808
```

Properties
- Formation energy (no corrections): -102 meV/atom
- Space-group type: R3m, No. 160
- DOS(E_F): 0.903 states/eV/atom